(1)
First-principles (PBE-GGA) data for a geometry-optimized CsRb4 structure, as listed in the Alexandria database.

abc: 4.9526 8.2042 12.5490
angles: 108.81 101.15 90.03
Space group P-1 (No. 2)
One atom of each set of equivalent atoms:
Cs  0.0000  0.0000  0.0000 x1
Rb  0.2877  0.7900  0.5799 x2
Rb  0.3983  0.3986  0.7975 x2

V: 472.46 Å³ per cell
Energy of formation: 0.05 eV per formula unit
E above lowest polymorph: 0 meV per atom
Magnetic moment: 0.0 μB per formula unit

(2)
First-principles (PBE-GGA) data for a geometry-optimized CrPbS2 structure, as listed in the Alexandria database.

abc: 5.6551 3.2689 8.7375
angles: 90.00 90.26 90.00
Space group Cm (No. 8)
One atom of each set of equivalent atoms:
Cr  0.0000  0.0000  0.0000 x2
Pb  0.1651  0.5000  0.4999 x2
S  0.1654  0.5000  0.8425 x2
S  0.1678  0.5000  0.1575 x2

V: 161.52 Å³ per cell
Raw formation energy: -425 meV per atom
Magnetic moment: 0.7 μB per formula unit

(3)
First-principles (PBE-GGA) data for a geometry-optimized SmEr2Al2Zn2 structure, as listed in the Alexandria database.

abc: 4.5195 4.5195 27.1894
angles: 90.00 90.00 120.00
Space group R-3m (No. 166, hexagonal axes)
One atom of each set of equivalent atoms:
Sm  0.0000  0.0000  0.0000 x3
Er  0.0000  0.0000  0.1287 x6
Al  0.0000  0.0000  0.2601 x6
Zn  0.0000  0.0000  0.4035 x6

V: 480.96 Å³ per cell
Energy of formation: -2.16 eV per formula unit
Magnetic moment: 0.0 μB per formula unit

(4)
First-principles (PBE-GGA) data for a geometry-optimized Y2AgAu structure, as listed in the Alexandria database.

abc: 7.3797 4.2371 7.2868
angles: 90.00 109.47 90.00
Space group C2/m (No. 12)
One atom of each set of equivalent atoms:
Y  0.2475  0.0000  0.2425 x4
Ag  0.0000  0.0000  0.5000 x2
Au  0.0000  0.5000  0.0000 x2

V: 214.82 Å³ per cell
Energy of formation: -1.66 eV per formula unit
Magnetic moment: 0.0 μB per formula unit